A plane-wave DFT calculation with GGA-PBE was carried out for an optimized crystal structure of AcTbPa2O8.

N(E_F): 0.000 states/eV per cell
Density: 9.611 g cm⁻³
Formation energy from raw total energies: -3.644 eV/atom
Calculated total energy: -9.260 eV per atom

Lattice parameters (Å, degrees): 5.555 5.555 6.729 114.38 114.38 90.00
Fractional positions:
Ac (0.750, 0.250, 0.500)
Tb (0.000, 0.000, 0.000)
Pa (0.500, 0.500, 0.000)
Pa (0.250, 0.750, 0.500)
O (0.879, 0.850, 0.243)
O (0.363, 0.393, 0.243)
O (0.607, 0.636, 0.757)
O (0.150, 0.121, 0.757)
O (0.879, 0.393, 0.243)
O (0.364, 0.850, 0.243)
O (0.150, 0.637, 0.757)
O (0.607, 0.121, 0.757)


A plane-wave DFT calculation with GGA-PBE was carried out for an optimized crystal structure of AcScCuPd.

E_form: -343 meV per atom
N(E_F): 2.929 states/eV per cell
Density: 7.955 g cm⁻³
Calculated total energy: -5.275 eV per atom

Lattice parameters (Å, degrees): 5.072 5.072 5.072 60.00 60.00 60.00
Fractional positions:
Sc (0.250, 0.250, 0.250)
Ac (0.750, 0.750, 0.750)
Cu (0.500, 0.500, 0.500)
Pd (0.000, 0.000, 0.000)


A plane-wave DFT calculation with GGA-PBE was carried out for an optimized crystal structure of Y2ErCu.

E_form: 252 meV per atom
N(E_F): 6.316 states/eV per cell
Density: 5.825 g cm⁻³
Calculated total energy: -5.145 eV per atom
Energy relative to the lowest polymorph listed for this composition: 1.466 eV per formula unit

Lattice parameters (Å, degrees): 3.553 3.553 10.851 80.58 80.58 60.00
Site moments in Bohr magnetons follow the coordinates.
Fractional positions:
Y (0.106, 0.106, 0.683)  0.03
Y (0.894, 0.894, 0.317)  0.03
Cu (0.500, 0.500, 0.500)  0.00
Er (0.000, 0.000, 0.000)  0.23


A plane-wave DFT calculation with GGA-PBE was carried out for an optimized crystal structure of ZnB3Se.

N(E_F): 2.772 states/eV per cell
Density: 4.171 g cm⁻³
Formation energy from raw total energies: 2.000 eV/atom
Calculated total energy: -2.958 eV per atom
Energy relative to the lowest polymorph listed for this composition: 0.706 eV per formula unit

Lattice parameters (Å, degrees): 4.129 4.129 4.129 90.00 90.00 90.00
Fractional positions:
Zn (0.500, 0.500, 0.500)
B (0.000, 0.500, 0.000)
B (0.000, 0.000, 0.500)
B (0.500, 0.000, 0.000)
Se (0.000, 0.000, 0.000)


A plane-wave DFT calculation with GGA-PBE was carried out for an optimized crystal structure of PmPaB.

E_form: 453 meV per atom
N(E_F): 9.695 states/eV per cell
Density: 9.054 g cm⁻³
Calculated total energy: -6.522 eV per atom

Lattice parameters (Å, degrees): 3.535 6.659 6.028 90.00 90.00 90.00
Fractional positions:
B (0.500, 0.750, 0.771)
B (0.500, 0.250, 0.229)
Pa (0.000, 0.250, 0.498)
Pa (0.000, 0.750, 0.502)
Pm (0.000, 0.000, 0.000)
Pm (0.000, 0.500, 0.000)


A plane-wave DFT calculation with GGA-PBE was carried out for an optimized crystal structure of VNi5H5.

N(E_F): 6.924 states/eV per cell
Density: 7.453 g cm⁻³
Calculated total energy: -5.062 eV per atom

Lattice parameters (Å, degrees): 3.728 4.561 5.274 106.34 90.00 114.12
Site moments in Bohr magnetons follow the coordinates.
Fractional positions:
V (0.000, 0.000, 0.000)  0.24
Ni (0.662, 0.325, 0.330)  0.01
Ni (0.670, 0.339, 0.840)  0.04
Ni (0.000, 0.000, 0.500)  0.04
Ni (0.330, 0.661, 0.160)  0.04
Ni (0.338, 0.675, 0.670)  0.01
H (0.833, 0.665, 0.194)  0.00
H (0.834, 0.668, 0.648)  0.00
H (0.500, 0.000, 0.000)  0.00
H (0.166, 0.332, 0.352)  0.00
H (0.167, 0.335, 0.806)  0.00


A plane-wave DFT calculation with GGA-PBE was carried out for an optimized crystal structure of LaNd3Tm2.

E_form: 305 meV per atom
N(E_F): 10.729 states/eV per cell
Density: 7.296 g cm⁻³
Calculated total energy: -4.391 eV per atom
Energy relative to the lowest polymorph listed for this composition: 0.234 eV per formula unit

Lattice parameters (Å, degrees): 3.498 5.981 10.484 106.57 99.60 90.00
Fractional positions:
La (0.000, 0.000, 0.000)
Nd (0.000, 0.500, 0.000)
Nd (0.808, 0.808, 0.616)
Nd (0.192, 0.192, 0.384)
Tm (0.638, 0.638, 0.276)
Tm (0.362, 0.362, 0.724)


A plane-wave DFT calculation with GGA-PBE was carried out for an optimized crystal structure of CuO.

N(E_F): 16.996 states/eV per cell
Density: 4.534 g cm⁻³
Formation energy from raw total energies: -0.337 eV/atom
Calculated total energy: -4.865 eV per atom

Lattice parameters (Å, degrees): 6.154 6.154 6.154 90.00 90.00 90.00
Site moments in Bohr magnetons follow the coordinates.
Fractional positions:
Cu (0.332, 0.332, 0.332)  0.56
Cu (0.332, 0.668, 0.668)  0.56
Cu (0.668, 0.332, 0.668)  0.56
Cu (0.668, 0.668, 0.332)  0.56
Cu (0.832, 0.832, 0.832)  0.56
Cu (0.832, 0.168, 0.168)  0.56
Cu (0.168, 0.832, 0.168)  0.56
Cu (0.168, 0.168, 0.832)  0.56
O (0.160, 0.160, 0.160)  0.33
O (0.160, 0.840, 0.840)  0.33
O (0.840, 0.160, 0.840)  0.33
O (0.840, 0.840, 0.160)  0.33
O (0.660, 0.660, 0.660)  0.33
O (0.660, 0.340, 0.340)  0.33
O (0.340, 0.660, 0.340)  0.33
O (0.340, 0.340, 0.660)  0.33


A plane-wave DFT calculation with GGA-PBE was carried out for an optimized crystal structure of PaTePdN.

N(E_F): 4.941 states/eV per cell
Density: 8.934 g cm⁻³
Formation energy from raw total energies: -0.951 eV/atom
Calculated total energy: -7.490 eV per atom

Lattice parameters (Å, degrees): 4.147 4.147 12.192 80.21 80.21 60.00
Fractional positions:
Pa (0.128, 0.128, 0.616)
Pa (0.872, 0.872, 0.384)
Te (0.717, 0.717, 0.848)
Te (0.283, 0.283, 0.152)
Pd (0.589, 0.589, 0.232)
Pd (0.411, 0.411, 0.768)
N (0.812, 0.812, 0.563)
N (0.188, 0.188, 0.437)


A plane-wave DFT calculation with GGA-PBE was carried out for an optimized crystal structure of ScNiAg2.

E_form: -44 meV per atom
N(E_F): 1.882 states/eV per cell
Density: 7.740 g cm⁻³
Calculated total energy: -4.498 eV per atom

Lattice parameters (Å, degrees): 3.515 3.515 5.547 90.00 90.00 90.00
Fractional positions:
Ag (0.000, 0.000, 0.012)
Ag (0.000, 0.000, 0.488)
Ni (0.500, 0.500, 0.250)
Sc (0.500, 0.500, 0.750)


A plane-wave DFT calculation with GGA-PBE was carried out for an optimized crystal structure of Tb3Cu2Ge4.

E_form: -678 meV per atom
N(E_F): 1.933 states/eV per cell
Density: 8.388 g cm⁻³
Calculated total energy: -5.184 eV per atom

Lattice parameters (Å, degrees): 4.225 5.740 8.221 105.97 90.00 111.60
Fractional positions:
Tb (0.631, 0.262, 0.692)
Tb (0.000, 0.000, 0.000)
Tb (0.369, 0.738, 0.308)
Cu (0.680, 0.360, 0.356)
Cu (0.320, 0.640, 0.644)
Ge (0.709, 0.418, 0.070)
Ge (0.291, 0.582, 0.930)
Ge (0.919, 0.838, 0.601)
Ge (0.081, 0.162, 0.399)


A plane-wave DFT calculation with GGA-PBE was carried out for an optimized crystal structure of CsScCu2Bi.

E_form: 1488 meV per atom
N(E_F): 3.903 states/eV per cell
Density: 5.791 g cm⁻³
Calculated total energy: -2.363 eV per atom

Lattice parameters (Å, degrees): 5.120 5.622 5.120 90.00 90.00 90.00
Fractional positions:
Cs (0.000, 0.000, 0.000)
Sc (0.000, 0.500, 0.000)
Bi (0.500, 0.500, 0.500)
Cu (0.000, 0.000, 0.500)
Cu (0.500, 0.000, 0.000)